The following is a DFT calculation (PBE-GGA) of a relaxed structure of SrRu2Au.

Computed properties:
theoretical density	10.667	Mg/m³
electronic total energy	-5.29	eV/atom
formation enthalpy at 0 K	0.59	eV per atom
N(E_F)	4.570	states/eV per cell
spin magnetization	0.43	μB/atom

abc: 3.0783 4.9106 5.0125
angles: 90.00 90.00 90.00
Space group Pmmm (No. 47)
One atom of each set of equivalent atoms:
Sr 0.0000 0.0000 0.0000 x1
Ru 0.0000 0.5000 0.5000 x1
Ru 0.5000 0.0000 0.5000 x1
Au 0.5000 0.5000 0.0000 x1



The following is a DFT calculation (PBE-GGA) of a relaxed structure of Re2PtAu.

Computed properties:
theoretical density	19.839	Mg/m³
electronic total energy	-8.00	eV/atom
formation enthalpy at 0 K	0.55	eV per atom
N(E_F)	19.408	states/eV per cell
spin magnetization	0.04	μB/atom

abc: 6.3491 6.3491 6.3491
angles: 90.00 90.00 90.00
Space group F-43m (No. 216)
One atom of each set of equivalent atoms:
Re 0.0000 0.0000 0.0000 x4
Re 0.2500 0.2500 0.2500 x4
Pt 0.0000 0.0000 0.5000 x4
Au 0.2500 0.2500 0.7500 x4



The following is a DFT calculation (PBE-GGA) of a relaxed structure of Er3MgTl.

Computed properties:
theoretical density	8.844	Mg/m³
electronic total energy	-3.70	eV/atom
formation enthalpy at 0 K	-0.17	eV per atom
N(E_F)	21.722	states/eV per cell
spin magnetization	0.04	μB/atom

abc: 5.0245 21.7334 5.0238
angles: 90.00 90.00 90.00
Space group Cmcm (No. 63)
One atom of each set of equivalent atoms:
Er 0.0000 0.0538 0.2500 x4
Er 0.0000 0.2496 0.2500 x4
Er 0.0000 0.4426 0.2500 x4
Mg 0.0000 0.1523 0.7500 x4
Tl 0.0000 0.3449 0.7500 x4



The following is a DFT calculation (PBE-GGA) of a relaxed structure of Rb2SiCCl6.

Computed properties:
theoretical density	2.675	Mg/m³
electronic total energy	-3.38	eV/atom
energy relative to the elements, uncorrected	-0.61	eV per atom
N(E_F)	0.000	states/eV per cell
spin magnetization	0.20	μB/atom

abc: 7.6063 7.6063 9.0939
angles: 90.00 90.00 90.00
Space group I4/mmm (No. 139)
One atom of each set of equivalent atoms:
Rb 0.0000 0.5000 0.2500 x4
Si 0.0000 0.0000 0.0000 x2
C 0.0000 0.0000 0.5000 x2
Cl 0.0000 0.0000 0.2502 x4
Cl 0.2087 0.2087 0.0000 x8